[1]
This record from Alexandria describes a geometry-optimized Sc2NbIr structure. The functional is PBE.

Lattice parameters (Å, degrees): 4.724 4.724 4.724 60.00 60.00 60.00
Atoms (fractional coordinates):
Sc  0.250  0.250  0.250
Sc  0.750  0.750  0.750
Nb  0.000  0.000  0.000
Ir  0.500  0.500  0.500

=====

[2]
This record from Alexandria describes a geometry-optimized ThZn3Hg structure. The functional is PBE.

Lattice parameters (Å, degrees): 4.561 4.202 11.403 100.62 103.58 90.00
Atoms (fractional coordinates):
Th  0.151  0.414  0.827
Th  0.849  0.586  0.173
Zn  0.724  0.977  0.954
Zn  0.276  0.023  0.046
Zn  0.376  0.716  0.432
Zn  0.624  0.284  0.568
Zn  0.985  0.786  0.573
Zn  0.015  0.214  0.427
Hg  0.441  0.143  0.286
Hg  0.559  0.857  0.714

=====

DFT formation energy for every record listed, in sequence, given in eV per formula unit: -1.1 -0.7.